La6CoTcPb2: relaxed, PBE.

Unit cell a=7.616 b=7.619 c=7.633 alpha=119.84 beta=90.12 gamma=119.94
Fractional coordinates of all 10 atoms:
La  0.000  0.000  0.000
La  0.000  0.495  0.492
La  0.495  0.495  0.492
La  0.495  0.989  0.490
La  0.497  0.497  0.000
La  0.999  0.496  0.999
Co  0.245  0.488  0.235
Tc  0.738  0.467  0.707
Pb  0.497  0.992  0.991
Pb  0.996  0.991  0.489

For the total energy, the calculation gives -57.9 eV for the cell shown. Its space group is P1. For the density, the calculation gives 7.4 g cm⁻³. The magnetization is 0.000 μB/cell.